No. 1
! Pr2LuSc | Alexandria | PBE-GGA | optimized geometry; values from VASP
! E: -20.086 eV for the cell shown
! DOS(E_F): 6.51 states/eV per cell
! distance to the lowest polymorph of the same formula: 4.0 kJ per mole of atoms
! density: 6.62 g cm⁻³
! symmetry: No. 225
&SYSTEM
  ibrav = 0, nat = 4, ntyp = 3
/
ATOMIC_SPECIES
Pr 140.91 Pr.upf
Sc 44.96 Sc.upf
Lu 174.97 Lu.upf
CELL_PARAMETERS angstrom
5.626 0.000 0.000
2.813 4.872 0.000
2.813 1.624 4.594
ATOMIC_POSITIONS angstrom
Pr 2.813 1.624 1.148
Pr 8.439 4.872 3.445
Sc 0.000 0.000 0.000
Lu 5.626 3.248 2.297

No. 2
! PrLu2Sc | Alexandria | PBE-GGA | optimized geometry; values from VASP
! E: -19.939 eV for the cell shown
! DOS(E_F): 7.13 states/eV per cell
! distance to the lowest polymorph of the same formula: 0.0 kJ per mole of atoms
! density: 7.49 g cm⁻³
! symmetry: No. 123
&SYSTEM
  ibrav = 0, nat = 4, ntyp = 3
/
ATOMIC_SPECIES
Pr 140.91 Pr.upf
Sc 44.96 Sc.upf
Lu 174.97 Lu.upf
CELL_PARAMETERS angstrom
4.961 0.000 0.000
0.000 4.895 0.000
0.000 0.000 4.895
ATOMIC_POSITIONS angstrom
Pr 2.481 2.447 2.447
Sc 2.481 0.000 0.000
Lu 0.000 0.000 2.447
Lu 0.000 2.447 0.000

No. 3
! PrLu2Sc | Alexandria | PBE-GGA | optimized geometry; values from VASP
! E: -19.639 eV for the cell shown
! DOS(E_F): 5.74 states/eV per cell
! distance to the lowest polymorph of the same formula: 7.2 kJ per mole of atoms
! density: 7.43 g cm⁻³
! symmetry: No. 225
&SYSTEM
  ibrav = 0, nat = 4, ntyp = 3
/
ATOMIC_SPECIES
Pr 140.91 Pr.upf
Sc 44.96 Sc.upf
Lu 174.97 Lu.upf
CELL_PARAMETERS angstrom
-1.086 -3.483 -4.159
4.033 -1.499 -3.478
1.984 -5.163 0.126
ATOMIC_POSITIONS angstrom
Pr 2.465 -5.073 -3.755
Sc 0.000 0.000 0.000
Lu 1.233 -2.536 -1.878
Lu 3.698 -7.609 -5.633

No. 4
! Pr2LuSc | Alexandria | PBE-GGA | optimized geometry; values from VASP
! E: -20.230 eV for the cell shown
! DOS(E_F): 6.28 states/eV per cell
! distance to the lowest polymorph of the same formula: 0.5 kJ per mole of atoms
! density: 6.67 g cm⁻³
! symmetry: No. 123
&SYSTEM
  ibrav = 0, nat = 4, ntyp = 3
/
ATOMIC_SPECIES
Pr 140.91 Pr.upf
Sc 44.96 Sc.upf
Lu 174.97 Lu.upf
CELL_PARAMETERS angstrom
-1.407 2.012 4.104
-0.388 -4.627 2.135
4.869 0.296 1.524
ATOMIC_POSITIONS angstrom
Pr 2.434 0.148 0.762
Pr -0.194 -2.313 1.068
Sc -0.704 1.006 2.052
Lu 1.537 -1.160 3.882

No. 5
! Pr2LuSc | Alexandria | PBE-GGA | optimized geometry; values from VASP
! E: -20.253 eV for the cell shown
! DOS(E_F): 5.09 states/eV per cell
! distance to the lowest polymorph of the same formula: 0.0 kJ per mole of atoms
! density: 6.67 g cm⁻³
! symmetry: No. 123
&SYSTEM
  ibrav = 0, nat = 4, ntyp = 3
/
ATOMIC_SPECIES
Pr 140.91 Pr.upf
Sc 44.96 Sc.upf
Lu 174.97 Lu.upf
CELL_PARAMETERS angstrom
-3.043 1.996 -0.189
-1.307 -1.713 2.939
3.926 6.513 5.543
ATOMIC_POSITIONS angstrom
Pr 2.977 4.938 4.202
Pr 0.949 1.575 1.340
Sc -2.175 0.141 1.375
Lu -0.212 3.398 4.146

No. 6
! PrSmLuSc | Alexandria | PBE-GGA | optimized geometry; values from VASP
! E: -20.010 eV for the cell shown
! DOS(E_F): 6.03 states/eV per cell
! density: 6.87 g cm⁻³
! symmetry: No. 216
&SYSTEM
  ibrav = 0, nat = 4, ntyp = 4
/
ATOMIC_SPECIES
Pr 140.91 Pr.upf
Sc 44.96 Sc.upf
Lu 174.97 Lu.upf
Sm 150.36 Sm.upf
CELL_PARAMETERS angstrom
5.592 0.000 0.000
2.796 4.843 0.000
2.796 1.614 4.566
ATOMIC_POSITIONS angstrom
Pr 2.796 1.614 1.141
Sc 0.000 0.000 0.000
Lu 5.592 3.228 2.283
Sm 8.388 4.843 3.424

No. 7
! TbPrLuSc | Alexandria | PBE-GGA | optimized geometry; values from VASP
! E: -19.904 eV for the cell shown
! DOS(E_F): 5.49 states/eV per cell
! density: 7.08 g cm⁻³
! symmetry: No. 216
&SYSTEM
  ibrav = 0, nat = 4, ntyp = 4
/
ATOMIC_SPECIES
Pr 140.91 Pr.upf
Sc 44.96 Sc.upf
Lu 174.97 Lu.upf
Tb 158.93 Tb.upf
CELL_PARAMETERS angstrom
-2.345 -4.633 -2.002
-2.884 -3.346 3.386
-5.535 -0.336 -0.473
ATOMIC_POSITIONS angstrom
Pr -8.073 -6.236 0.683
Sc 0.000 0.000 0.000
Lu -5.382 -4.157 0.456
Tb -2.691 -2.079 0.228

No. 8
! PrTmLuSc | Alexandria | PBE-GGA | optimized geometry; values from VASP
! E: -19.712 eV for the cell shown
! DOS(E_F): 4.99 states/eV per cell
! density: 7.33 g cm⁻³
! symmetry: No. 216
&SYSTEM
  ibrav = 0, nat = 4, ntyp = 4
/
ATOMIC_SPECIES
Pr 140.91 Pr.upf
Sc 44.96 Sc.upf
Lu 174.97 Lu.upf
Tm 168.93 Tm.upf
CELL_PARAMETERS angstrom
5.538 0.000 0.000
2.769 4.796 0.000
2.769 1.599 4.521
ATOMIC_POSITIONS angstrom
Pr 8.306 4.796 3.391
Sc 0.000 0.000 0.000
Lu 5.538 3.197 2.261
Tm 2.769 1.599 1.130